Entry 1:
This record from Alexandria via LeMat-Bulk describes RbScTc2 after structural relaxation. The functional is PBE-GGA.

Summary:
ΔH_f (0 K), eV/atom: 1.5644
Symmetry: Fm-3m, No. 225
Crystal system: cubic
D(E_F), states/eV per atom: 1.808

Unit cell a=4.831 b=4.831 c=4.831 alpha=60.00 beta=60.00 gamma=60.00
Atoms (fractional coordinates):
Rb: 0.000 0.000 0.000
Sc: 0.500 0.500 0.500
Tc: 0.250 0.250 0.250
Tc: 0.750 0.750 0.750

Entry 2:
This record from Alexandria via LeMat-Bulk describes RbSc2Tc after structural relaxation. The functional is PBE-GGA.

Summary:
ΔH_f (0 K), eV/atom: 0.3397
Symmetry: R-3m, No. 166
Crystal system: trigonal
D(E_F), states/eV per atom: 0.872

Unit cell a=11.039 b=11.039 c=11.039 alpha=17.53 beta=17.53 gamma=17.53
Atoms (fractional coordinates):
Rb: 0.000 0.000 0.000
Sc: 0.110 0.110 0.110
Sc: 0.890 0.890 0.890
Tc: 0.500 0.500 0.500

Entry 3:
This record from Alexandria via LeMat-Bulk describes Rb2ScTc after structural relaxation. The functional is PBE-GGA.

Summary:
ΔH_f (0 K), eV/atom: 1.0734
Symmetry: I-42d, No. 122
Crystal system: tetragonal
D(E_F), states/eV per atom: 0.925

Unit cell a=9.642 b=9.642 c=9.642 alpha=93.34 beta=93.34 gamma=152.07
Atoms (fractional coordinates):
Rb: 0.375 0.209 0.334
Rb: 0.791 0.125 0.166
Rb: 0.875 0.041 0.666
Rb: 0.959 0.625 0.834
Sc: 0.250 0.750 0.500
Sc: 0.500 0.500 0.000
Tc: 0.000 0.000 0.000
Tc: 0.750 0.250 0.500

Entry 4:
This record from Alexandria via LeMat-Bulk describes RbScTc after structural relaxation. The functional is PBE-GGA.

Summary:
ΔH_f (0 K), eV/atom: 0.3380
Symmetry: P1, No. 1
Crystal system: triclinic
D(E_F), states/eV per atom: 0.647

Unit cell a=4.181 b=4.182 c=14.953 alpha=82.88 beta=82.80 gamma=60.01
Atoms (fractional coordinates):
Rb: 0.000 0.000 0.000
Rb: 0.451 0.462 0.708
Sc: 0.192 0.196 0.471
Sc: 0.600 0.600 0.225
Tc: 0.243 0.244 0.302
Tc: 0.897 0.898 0.345

Entry 5:
This record from Alexandria via LeMat-Bulk describes RbScTc after structural relaxation. The functional is PBE-GGA.

Summary:
ΔH_f (0 K), eV/atom: 0.1649
Symmetry: P-1, No. 2
Crystal system: triclinic
D(E_F), states/eV per atom: 0.668

Unit cell a=4.213 b=4.214 c=14.255 alpha=82.85 beta=82.46 gamma=60.04
Atoms (fractional coordinates):
Rb: 0.224 0.243 0.346
Rb: 0.776 0.757 0.654
Sc: 0.035 0.030 0.888
Sc: 0.965 0.970 0.112
Tc: 0.340 0.339 0.980
Tc: 0.660 0.661 0.020

Entry 6:
This record from Alexandria via LeMat-Bulk describes RbScTc after structural relaxation. The functional is PBE-GGA.

Summary:
ΔH_f (0 K), eV/atom: 0.1641
Symmetry: P-1, No. 2
Crystal system: triclinic
D(E_F), states/eV per atom: 0.638

Unit cell a=4.213 b=4.213 c=14.083 alpha=88.75 beta=88.90 gamma=60.02
Atoms (fractional coordinates):
Rb: 0.179 0.186 0.153
Rb: 0.821 0.814 0.847
Sc: 0.496 0.494 0.613
Sc: 0.504 0.506 0.387
Tc: 0.166 0.166 0.520
Tc: 0.834 0.834 0.480

Entry 7:
This record from Alexandria via LeMat-Bulk describes RbSc2Tc after structural relaxation. The functional is PBE-GGA.

Summary:
ΔH_f (0 K), eV/atom: 0.6132
Symmetry: I4_1/amd, No. 141
Crystal system: tetragonal
D(E_F), states/eV per atom: 0.000

Unit cell a=7.718 b=7.718 c=7.718 alpha=120.05 beta=120.05 gamma=89.92
Atoms (fractional coordinates):
Rb: 0.375 0.625 0.750
Rb: 0.625 0.375 0.250
Sc: 0.000 0.000 0.000
Sc: 0.000 0.000 0.500
Sc: 0.000 0.500 0.000
Sc: 0.500 0.000 0.500
Tc: 0.125 0.875 0.250
Tc: 0.875 0.125 0.750

Entry 8:
This record from Alexandria via LeMat-Bulk describes Rb3ScTc after structural relaxation. The functional is PBE-GGA.

Summary:
ΔH_f (0 K), eV/atom: 1.7974
Symmetry: Pm-3m, No. 221
Crystal system: cubic
D(E_F), states/eV per atom: 2.623

Unit cell a=6.185 b=6.185 c=6.185 alpha=90.00 beta=90.00 gamma=90.00
Atoms (fractional coordinates):
Rb: 0.000 0.000 0.500
Rb: 0.000 0.500 0.000
Rb: 0.500 0.000 0.000
Sc: 0.500 0.500 0.500
Tc: 0.000 0.000 0.000

Entry 9:
This record from Alexandria via LeMat-Bulk describes RbY2ScTc after structural relaxation. The functional is PBE-GGA.

Summary:
ΔH_f (0 K), eV/atom: 1.7366
Symmetry: P4/mmm, No. 123
Crystal system: tetragonal
D(E_F), states/eV per atom: 1.196

Unit cell a=5.516 b=5.516 c=5.745 alpha=90.00 beta=90.00 gamma=90.00
Atoms (fractional coordinates):
Rb: 0.000 0.000 0.000
Y: 0.000 0.500 0.500
Y: 0.500 0.000 0.500
Sc: 0.000 0.000 0.500
Tc: 0.500 0.500 0.000

Entry 10:
This record from Alexandria via LeMat-Bulk describes Rb2ZrScTc after structural relaxation. The functional is PBE-GGA.

Summary:
ΔH_f (0 K), eV/atom: 1.6651
Symmetry: P4/mmm, No. 123
Crystal system: tetragonal
D(E_F), states/eV per atom: 1.374

Unit cell a=6.500 b=6.500 c=4.713 alpha=90.00 beta=90.00 gamma=90.00
Atoms (fractional coordinates):
Rb: 0.000 0.500 0.000
Rb: 0.500 0.000 0.000
Zr: 0.000 0.000 0.500
Sc: 0.500 0.500 0.500
Tc: 0.500 0.500 0.000

Entry 11:
This record from Alexandria via LeMat-Bulk describes RbScTe2 after structural relaxation. The functional is PBE-GGA.

Summary:
Formation energy (no corrections), meV per atom: -1225.7
Symmetry: P-3m1, No. 164
Crystal system: trigonal

Unit cell a=4.326 b=4.326 c=8.609 alpha=90.00 beta=90.00 gamma=120.00
Atoms (fractional coordinates):
Rb: 0.000 0.000 0.000
Sc: 0.000 0.000 0.500
Te: 0.333 0.667 0.688
Te: 0.667 0.333 0.312

Entry 12:
This record from Alexandria via LeMat-Bulk describes RbSc5Te8 after structural relaxation. The functional is PBE-GGA.

Summary:
Formation energy (no corrections), meV per atom: -1252.1
Symmetry: C2/m, No. 12
Crystal system: monoclinic
D(E_F), states/eV per atom: 0.002

Unit cell a=10.959 b=10.959 c=10.334 alpha=104.15 beta=104.15 gamma=21.99
Atoms (fractional coordinates):
Rb: 0.000 0.000 0.000
Sc: 0.156 0.156 0.478
Sc: 0.206 0.206 0.844
Sc: 0.500 0.500 0.500
Sc: 0.794 0.794 0.156
Sc: 0.844 0.844 0.522
Te: 0.075 0.075 0.666
Te: 0.262 0.262 0.341
Te: 0.336 0.336 0.004
Te: 0.415 0.415 0.684
Te: 0.585 0.585 0.316
Te: 0.664 0.664 0.996
Te: 0.738 0.738 0.659
Te: 0.925 0.925 0.334

| no. | spin magnetization (μB per cell) |
| --- | --- |
| 1 | 1.5 |
| 2 | 0.0 |
| 3 | 1.5 |
| 4 | 0.0 |
| 5 | 0.0 |
| 6 | 0.0 |
| 7 | 0.0 |
| 8 | 0.2 |
| 9 | 4.3 |
| 10 | 3.6 |
| 11 | 0.0 |
| 12 | 0.0 |